Compound: GaH2F3
Source: the Alexandria database
Functional: PBE
Structure: relaxed

Cell: 6.2898 6.2898 5.2938 Å, 90.00 90.00 120.00°
Fractional coordinates of all 12 atoms:
Ga (0.0000, 0.0000, 0.0000)
Ga (0.0000, 0.0000, 0.5000)
H (0.3333, 0.6667, 0.8207)
H (0.6667, 0.3333, 0.3207)
H (0.6667, 0.3333, 0.1793)
H (0.3333, 0.6667, 0.6793)
F (0.7372, 0.8686, 0.2500)
F (0.1314, 0.2628, 0.2500)
F (0.1314, 0.8686, 0.2500)
F (0.2628, 0.1314, 0.7500)
F (0.8686, 0.7372, 0.7500)
F (0.8686, 0.1314, 0.7500)

VASP energy ... -4.20 eV per atom